{
  "formula": "SrPr2Ir",
  "functional": "PBE",
  "state": "optimized geometry",
  "total_energy_ev_per_atom": -5.33,
  "ef_mev_per_atom": -306,
  "total_magnetization_mub_per_fu": 0.0,
  "de_polymorph_ev_per_atom": 0.045,
  "cell": [[4.232, -0.002, 0.000], [-2.119, 6.560, 0.000], [0.000, 0.000, 9.271]],
  "species": ["Sr", "Sr", "Pr", "Pr", "Pr", "Pr", "Ir", "Ir"],
  "frac_coords": [[0.931, 0.862, 0.250], [0.069, 0.138, 0.750], [0.350, 0.699, 0.563], [0.650, 0.301, 0.437], [0.350, 0.699, 0.937], [0.650, 0.301, 0.063], [0.762, 0.523, 0.750], [0.238, 0.477, 0.250]]
}